1.
Compound: KZnTe2
Source: Alexandria
Functional: GGA-PBE
Structure: relaxed

Cell: 4.0754 5.4150 11.4864 Å, 90.00 90.00 90.00°
With the nearest neighbours (Å) after each atom.
Space group Imm2 (No. 44)
Symmetry-distinct sites (fractional):
K: 0.0000 0.0000 0.0000 x2  6 Te 3.42-3.55, 2 Zn 3.52
Zn: 0.0000 0.5000 0.8041 x2  2 Te 2.73
Te: 0.0000 0.0000 0.4622 x2  2 Zn 2.73
Te: 0.0000 0.5000 0.1996 x2  2 Te 3.40, 2 K 3.55, 4 Zn 3.60

Calculated values
Final energy (eV for the cell shown): -18.9
Total magnetization (μB per cell): 0.0
Formation energy from raw total energies (meV/atom): -201.2

***

2.
Compound: Nd5Sm4Cd2
Source: Alexandria
Functional: GGA-PBE
Structure: relaxed

Cell: 8.8179 3.5636 11.3458 Å, 90.00 94.40 90.00°
With the nearest neighbours (Å) after each atom.
Space group P2/m (No. 10)
Symmetry-distinct sites (fractional):
Nd: 0.0000 0.0000 0.0000 x1  6 Nd 3.35-3.56, 4 Sm 3.73
Nd: 0.0566 0.0000 0.3039 x2  1 Cd 3.41, 4 Nd 3.42-3.56, 4 Sm 3.61-3.70
Nd: 0.3008 0.0000 0.8365 x2  4 Nd 3.35-3.56, 1 Cd 3.36, 6 Sm 3.57-3.72
Sm: 0.2453 0.5000 0.5501 x2  4 Cd 3.32-3.37, 2 Sm 3.56, 6 Nd 3.61-3.71
Sm: 0.3477 0.5000 0.1250 x2  2 Cd 3.32, 2 Sm 3.56, 2 Nd 3.57
Cd: 0.4407 0.0000 0.3665 x2  1 Cd 3.13, 6 Sm 3.32-3.37, 2 Nd 3.36-3.41

Calculated values
Final energy (eV for the cell shown): -44.6
ΔE_f (eV per atom): -0.009
Total magnetization (μB per cell): 0.0

***

3.
Compound: BeNi2
Source: Alexandria
Functional: GGA-PBE
Structure: relaxed

Cell: 8.6909 2.5443 5.4801 Å, 90.00 104.13 90.00°
With the nearest neighbours (Å) after each atom.
Space group Cm (No. 8)
Symmetry-distinct sites (fractional):
Be: 0.0000 0.0000 0.0000 x2  6 Ni 2.22-2.28
Be: 0.1917 0.5000 0.3464 x2  7 Ni 2.26-2.39
Ni: 0.0617 0.0000 0.5712 x2  2 Be 2.26, 7 Ni 2.40-2.44
Ni: 0.1968 0.5000 0.9360 x2  3 Be 2.23-2.26, 6 Ni 2.42-2.49
Ni: 0.3504 0.0000 0.6857 x2  4 Be 2.28-2.39, 8 Ni 2.43-2.54
Ni: 0.3908 0.0000 0.2438 x2  4 Be 2.22-2.32, 4 Ni 2.40-2.43

Calculated values
Final energy (eV for the cell shown): -63.6
ΔE_f (eV per atom): -0.205
Total magnetization (μB per cell): 0.6

***

4.
Compound: Ga3BP
Source: Alexandria
Functional: GGA-PBE
Structure: relaxed

Cell: 4.7436 4.7436 4.7436 Å, 90.00 90.00 90.00°
With the nearest neighbours (Å) after each atom.
Space group Pm-3m (No. 221)
Symmetry-distinct sites (fractional):
Ga: 0.0000 0.0000 0.5000 x3  2 P 2.37
B: 0.5000 0.5000 0.5000 x1  12 Ga 3.35
P: 0.0000 0.0000 0.0000 x1  6 Ga 2.37

Calculated values
Final energy (eV for the cell shown): -15.4
ΔE_f (eV per atom): 1.160
Total magnetization (μB per cell): 0.0
Polymorph energy (0 for the lowest one) (meV per atom): 780